# 1
# SrCd2GaGe

Crystalline SrCd2GaGe at its relaxed geometry (PBE, OQMD).

## Properties
Final energy   -0.190 Ry/atom

abc: 4.531 4.531 11.752
angles: 90.00 90.00 90.00
Sites, in units of the cell vectors:
1 Sr 0.000 0.000 0.000
2 Sr 0.500 0.500 0.500
3 Cd 0.000 0.500 0.250
4 Cd 0.000 0.500 0.750
5 Cd 0.500 0.000 0.250
6 Cd 0.500 0.000 0.750
7 Ga 0.000 0.000 0.611
8 Ga 0.500 0.500 0.111
9 Ge 0.000 0.000 0.396
10 Ge 0.500 0.500 0.896

***

# 2
# HfCdGa2

Crystalline HfCdGa2 at its relaxed geometry (PBE, OQMD).

## Properties
Final energy   -0.299 Ry/atom

abc: 6.815 6.815 6.815
angles: 90.00 90.00 90.00
Sites, in units of the cell vectors:
1 Hf 0.000 0.000 0.000
2 Hf 0.000 0.500 0.500
3 Hf 0.500 0.000 0.500
4 Hf 0.500 0.500 0.000
5 Cd 0.250 0.250 0.750
6 Cd 0.250 0.750 0.250
7 Cd 0.750 0.250 0.250
8 Cd 0.750 0.750 0.750
9 Ga 0.000 0.000 0.500
10 Ga 0.000 0.500 0.000
11 Ga 0.250 0.250 0.250
12 Ga 0.250 0.750 0.750
13 Ga 0.500 0.000 0.000
14 Ga 0.500 0.500 0.500
15 Ga 0.750 0.250 0.750
16 Ga 0.750 0.750 0.250

***

Number 1: calculated volume 241.3 Å³ per cell. Number 2: calculated volume 316.5 Å³ per cell.